# 1
A plane-wave DFT calculation with GGA-PBE was carried out for a relaxed Sr3CeS4 crystal.

Calculated values
As for the crystal system: orthorhombic. Its energy relative to the elements, uncorrected is -2.052 eV/atom.

a = 4.2081 Å, b = 7.3272 Å, c = 7.3272 Å
α = 109.39°, β = 90.00°, γ = 90.00°
With the nearest neighbours (Å) after each atom.
Element x y z (fractional)
S 0.5000 0.7555 0.2445  1 Ce 2.92, 5 Sr 2.99-3.06
S 0.0000 0.7581 0.7581  2 Ce 2.94, 4 Sr 2.99-3.03
S 0.5000 0.2445 0.7555  1 Ce 2.92, 5 Sr 2.99-3.06
S 0.0000 0.2419 0.2419  2 Ce 2.94, 4 Sr 2.99-3.03
Sr 0.0000 0.5000 0.0000  6 S 2.99
Sr 0.5000 0.5000 0.5000  6 S 3.03-3.06
Sr 0.0000 0.0000 0.5000  6 S 2.99
Ce 0.5000 0.0000 0.0000  6 S 2.92-2.94



# 2
A plane-wave DFT calculation with GGA-PBE was carried out for a relaxed SrCe5S6 crystal.

Calculated values
As for the crystal system: monoclinic. Its energy relative to the elements, uncorrected is -2.010 eV/atom.

a = 7.0423 Å, b = 7.0360 Å, c = 7.0391 Å
α = 60.01°, β = 80.40°, γ = 70.51°
With the nearest neighbours (Å) after each atom.
Element x y z (fractional)
S 0.2519 0.2543 0.0000  5 Ce 2.84-2.87, 1 Sr 2.91
S 0.7465 0.0846 0.3382  5 Ce 2.85-2.88, 1 Sr 2.92
S 0.7465 0.4228 0.6618  5 Ce 2.85-2.88, 1 Sr 2.92
S 0.2535 0.5772 0.3382  5 Ce 2.85-2.88, 1 Sr 2.92
S 0.2535 0.9154 0.6618  5 Ce 2.85-2.88, 1 Sr 2.92
S 0.7481 0.7457 0.0000  5 Ce 2.84-2.87, 1 Sr 2.91
Ce 0.0000 0.6668 0.6665  6 S 2.87
Ce 0.5000 0.8350 0.3301  6 S 2.85-2.88
Ce 0.0000 0.3332 0.3335  6 S 2.87
Ce 0.5000 0.5000 0.0000  6 S 2.84-2.87
Ce 0.5000 0.1650 0.6699  6 S 2.85-2.88
Sr 0.0000 0.0000 0.0000  6 S 2.91-2.92



# 3
A plane-wave DFT calculation with GGA-PBE was carried out for a relaxed SrCeS2 crystal.

Calculated values
As for the crystal system: trigonal. Its energy relative to the elements, uncorrected is -2.010 eV/atom.

a = 4.1231 Å, b = 4.1231 Å, c = 7.3080 Å
α = 73.62°, β = 73.62°, γ = 60.00°
With the nearest neighbours (Å) after each atom.
Element x y z (fractional)
Sr 0.5000 0.5000 0.5000  6 S 2.98
S 0.7466 0.7466 0.7603  3 Ce 2.90, 3 Sr 2.98
S 0.2534 0.2534 0.2397  3 Ce 2.90, 3 Sr 2.98
Ce 0.0000 0.0000 0.0000  6 S 2.90



# 4
A plane-wave DFT calculation with GGA-PBE was carried out for a relaxed Sr2CeS4 crystal.

Calculated values
As for the crystal system: orthorhombic. Its energy relative to the elements, uncorrected is -1.994 eV/atom.

a = 4.2687 Å, b = 7.3873 Å, c = 12.1137 Å
α = 90.00°, β = 90.00°, γ = 90.00°
With the nearest neighbours (Å) after each atom.
Element x y z (fractional)
S 0.5000 0.2306 0.4529  2 Ce 2.79, 2 Sr 3.09-3.11
S 0.5000 0.7694 0.5471  2 Ce 2.79, 2 Sr 3.09-3.11
S 0.0000 0.3642 0.2053  1 Ce 2.68, 4 Sr 2.99-3.00
S 0.5000 0.7306 0.0471  2 Ce 2.79, 2 Sr 3.09-3.11
S 0.5000 0.2694 0.9529  2 Ce 2.79, 2 Sr 3.09-3.11
S 0.0000 0.8642 0.2947  1 Ce 2.68, 4 Sr 2.99-3.00
S 0.0000 0.1358 0.7053  1 Ce 2.68, 4 Sr 2.99-3.00
S 0.0000 0.6358 0.7947  1 Ce 2.68, 4 Sr 2.99-3.00
Ce 0.0000 0.5000 0.0000  6 S 2.68-2.79
Ce 0.0000 0.0000 0.5000  6 S 2.68-2.79
Sr 0.5000 0.5836 0.3164  6 S 2.99-3.11
Sr 0.5000 0.4164 0.6836  6 S 2.99-3.11
Sr 0.5000 0.9164 0.8164  6 S 2.99-3.11
Sr 0.5000 0.0836 0.1836  6 S 2.99-3.11